[1]
Entry from Alexandria: La4Si2S3O7 at its PBEsol-relaxed geometry (SCAN).

a = 11.128 Å, b = 11.128 Å, c = 11.128 Å
α = 114.35°, β = 114.35°, γ = 100.10°
Positions (direct):
La 0.046 0.296 0.093
La 0.046 0.954 0.750
La 0.170 0.657 0.513
La 0.296 0.046 0.593
La 0.296 0.704 0.250
La 0.343 0.356 0.513
La 0.343 0.830 0.987
La 0.356 0.343 0.013
La 0.644 0.657 0.987
La 0.657 0.170 0.013
La 0.657 0.644 0.487
La 0.704 0.296 0.750
La 0.704 0.954 0.407
La 0.830 0.343 0.487
La 0.954 0.046 0.250
La 0.954 0.704 0.907
Si 0.098 0.224 0.626
Si 0.098 0.471 0.874
Si 0.224 0.098 0.126
Si 0.471 0.098 0.374
Si 0.529 0.902 0.626
Si 0.776 0.902 0.874
Si 0.902 0.529 0.126
Si 0.902 0.776 0.374
S 0.000 0.351 0.351
S 0.000 0.649 0.649
S 0.125 0.875 0.250
S 0.351 0.000 0.851
S 0.351 0.500 0.351
S 0.375 0.625 0.750
S 0.500 0.351 0.851
S 0.500 0.649 0.149
S 0.625 0.375 0.250
S 0.649 0.000 0.149
S 0.649 0.500 0.649
S 0.875 0.125 0.750
O 0.075 0.566 0.228
O 0.075 0.847 0.509
O 0.146 0.396 0.750
O 0.153 0.162 0.228
O 0.153 0.925 0.991
O 0.162 0.153 0.728
O 0.162 0.434 0.009
O 0.175 0.199 0.524
O 0.175 0.651 0.976
O 0.199 0.175 0.024
O 0.349 0.825 0.524
O 0.396 0.146 0.250
O 0.434 0.162 0.509
O 0.434 0.925 0.272
O 0.566 0.075 0.728
O 0.566 0.838 0.491
O 0.604 0.854 0.750
O 0.651 0.175 0.476
O 0.801 0.825 0.976
O 0.825 0.349 0.024
O 0.825 0.801 0.476
O 0.838 0.566 0.991
O 0.838 0.847 0.272
O 0.847 0.075 0.009
O 0.847 0.838 0.772
O 0.854 0.604 0.250
O 0.925 0.153 0.491
O 0.925 0.434 0.772

Output
SG: I4_1/amd (141)
E_tot (eV per atom): -19.811

[2]
Entry from Alexandria: La2SnS3O2 at its PBEsol-relaxed geometry (SCAN).

a = 5.817 Å, b = 18.930 Å, c = 5.794 Å
α = 90.00°, β = 90.00°, γ = 90.00°
Positions (direct):
La 0.248 0.064 0.002
La 0.248 0.436 0.002
La 0.252 0.564 0.502
La 0.252 0.936 0.502
La 0.748 0.064 0.498
La 0.748 0.436 0.498
La 0.752 0.564 0.998
La 0.752 0.936 0.998
Sn 0.152 0.750 0.932
Sn 0.348 0.250 0.432
Sn 0.652 0.750 0.568
Sn 0.848 0.250 0.068
S 0.235 0.750 0.511
S 0.242 0.132 0.511
S 0.242 0.368 0.511
S 0.258 0.632 0.011
S 0.258 0.868 0.011
S 0.265 0.250 0.011
S 0.735 0.750 0.989
S 0.742 0.132 0.989
S 0.742 0.368 0.989
S 0.758 0.632 0.489
S 0.758 0.868 0.489
S 0.765 0.250 0.489
O 0.001 0.001 0.749
O 0.001 0.499 0.749
O 0.499 0.501 0.249
O 0.499 0.999 0.249
O 0.501 0.001 0.751
O 0.501 0.499 0.751
O 0.999 0.501 0.251
O 0.999 0.999 0.251

Output
SG: Pnma (62)
E_tot (eV per atom): -22.809